This record from the Alexandria database describes a relaxed structure of K6Cl7. The functional is PBE. Values from VASP.

Output
- Final energy: -38.46 eV per formula unit
- Formation energy without anion corrections: -1.46 eV/atom
- Calculated density: 1.4 g cm⁻³

Cell and atoms, written as Quantum ESPRESSO input:
```
&SYSTEM
  ibrav = 0, nat = 13, ntyp = 2
/
ATOMIC_SPECIES
K 39.10 K.upf
Cl 35.45 Cl.upf
ATOMIC_POSITIONS angstrom
K 0.000 0.000 2.553
K 0.000 0.000 8.741
K 0.000 0.000 13.252
K 0.000 0.000 26.494
K 0.000 0.000 31.005
K 0.000 0.000 37.192
Cl -1.746 -1.008 15.556
Cl 0.000 -2.017 24.190
Cl -1.746 1.008 24.190
Cl 0.000 0.000 19.873
Cl 1.746 -1.008 15.556
Cl 0.000 2.017 15.556
Cl 1.746 1.008 24.190
CELL_PARAMETERS angstrom
3.512 2.028 13.249
-3.512 2.028 13.249
0.000 -4.055 13.249
```